Material: NaUMn4O8
Method: DFT, GGA+U
State: relaxed

Its density of states at the Fermi level is 4.74 states/eV/f.u. Its total energy is -7.700 eV per atom. The value obtained for the calculated volume is 563.0 Å³/cell.

It has space group R3m (No. 160, hexagonal axes), with a = 6.3548 Å, b = 6.3548 Å, c = 16.0968 Å, α = 90.00°, β = 90.00° and γ = 120.00°. The distinct sites, in fractional coordinates, are Na at (0.0000, 0.0000, 0.0000), U at (0.0000, 0.0000, 0.6379), Mn at (0.0000, 0.0000, 0.2735), Mn at (0.1680, 0.3361, 0.4698), O at (0.0000, 0.0000, 0.4054), O at (0.0000, 0.0000, 0.8605), O at (0.0413, 0.5207, 0.3846) and O at (0.1760, 0.3521, 0.2241).